# CeHo2PaP4 | Alexandria | GGA-PBE | optimized geometry
data_CeHo2PaP4
_chemical_formula_sum 'Ce1 Ho2 Pa1 P4'
_cell_length_a 6.9065
_cell_length_b 4.0074
_cell_length_c 6.9460
_cell_angle_alpha 90.00
_cell_angle_beta 109.52
_cell_angle_gamma 90.00
_symmetry_space_group_name_H-M 'P 1'
_symmetry_Int_Tables_number 1
loop_
_symmetry_equiv_pos_as_xyz
'x,y,z'
loop_
_atom_site_label
_atom_site_fract_x
_atom_site_fract_y
_atom_site_fract_z
Ce1 0.0000 0.0000 0.0000
Ho1 0.5000 0.0000 0.5000
Ho2 0.5000 0.5000 0.0000
Pa1 0.0000 0.5000 0.5000
P1 0.2494 0.0000 0.7450
P2 0.2513 0.5000 0.2559
P3 0.7487 0.5000 0.7441
P4 0.7506 0.0000 0.2550
# symmetry	P2/m (10)
# E_tot	-7.29	eV per atom